BaAlPt: optimized geometry, PBE.

As for the energy relative to the elements: -0.9 eV per formula unit. For the magnetization, the calculation gives 0.00 μB per formula unit. For the total energy, the calculation gives -50.27 eV per cell.

abc: 7.0488 7.0488 7.0488
angles: 90.00 90.00 90.00
Atoms (fractional coordinates):
Ba: 0.0000 0.0000 0.0000
Ba: 0.0000 0.5000 0.5000
Ba: 0.5000 0.0000 0.5000
Ba: 0.5000 0.5000 0.0000
Al: 0.0000 0.0000 0.5000
Al: 0.0000 0.5000 0.0000
Al: 0.5000 0.0000 0.0000
Al: 0.5000 0.5000 0.5000
Pt: 0.2500 0.2500 0.2500
Pt: 0.2500 0.7500 0.7500
Pt: 0.7500 0.2500 0.7500
Pt: 0.7500 0.7500 0.2500



InPb2Au3: optimized geometry, PBE.

As for the energy relative to the elements: -0.8 eV per formula unit. For the magnetization, the calculation gives 0.00 μB per formula unit. For the total energy, the calculation gives -41.49 eV per cell.

abc: 7.7311 7.7311 5.7209
angles: 90.00 90.00 62.43
Atoms (fractional coordinates):
In: 0.1841 0.8159 0.7500
In: 0.8159 0.1841 0.2500
Pb: 0.1596 0.4973 0.2500
Pb: 0.4973 0.1596 0.7500
Pb: 0.5027 0.8404 0.2500
Pb: 0.8404 0.5027 0.7500
Au: 0.1529 0.1529 0.0000
Au: 0.1529 0.1529 0.5000
Au: 0.5000 0.5000 0.0000
Au: 0.5000 0.5000 0.5000
Au: 0.8471 0.8471 0.0000
Au: 0.8471 0.8471 0.5000



InHg2H3: optimized geometry, PBE.

For the magnetization, the calculation gives 0.00 μB per formula unit. For the total energy, the calculation gives -11.88 eV per cell.

abc: 3.1522 3.1522 11.8236
angles: 90.00 90.00 90.00
Atoms (fractional coordinates):
In: 0.0000 0.0000 0.0000
Hg: 0.0000 0.0000 0.2525
Hg: 0.0000 0.0000 0.7475
H: 0.0000 0.0000 0.4177
H: 0.0000 0.0000 0.5000
H: 0.0000 0.0000 0.5823



SmPaSe2N: optimized geometry, PBE.

For the uncorrected formation energy, the calculation gives -8.94 eV per formula unit. For the magnetization, the calculation gives 0.34 μB per formula unit. For the total energy, the calculation gives -76.89 eV per cell.

abc: 3.9884 3.9884 14.0948
angles: 90.00 90.00 90.00
Atoms (fractional coordinates):
Sm: 0.2500 0.2500 0.1005
Sm: 0.7500 0.7500 0.8995
Pa: 0.2500 0.2500 0.5827
Pa: 0.7500 0.7500 0.4173
Se: 0.2500 0.2500 0.3134
Se: 0.2500 0.2500 0.8855
Se: 0.7500 0.7500 0.1145
Se: 0.7500 0.7500 0.6866
N: 0.2500 0.7500 0.5000
N: 0.7500 0.2500 0.5000



ScSi2Au: optimized geometry, PBE.

For the uncorrected formation energy, the calculation gives -1.40 eV per formula unit. For the magnetization, the calculation gives 0.00 μB per formula unit. For the total energy, the calculation gives -21.85 eV per cell.

abc: 2.9394 4.4976 5.1237
angles: 90.00 90.00 90.00
Atoms (fractional coordinates):
Sc: 0.0000 0.0000 0.0000
Si: 0.5000 0.0000 0.5204
Si: 0.5000 0.5000 0.7698
Au: 0.5000 0.5000 0.2629



AgMoBr2: optimized geometry, PBE.

The energy above the most stable polymorph in this dataset is 76 meV per atom. For the uncorrected formation energy, the calculation gives 0.88 eV per formula unit. For the magnetization, the calculation gives 0.00 μB per formula unit. For the total energy, the calculation gives -48.44 eV per cell.

abc: 3.3123 3.3123 27.8379
angles: 90.00 90.00 120.00
Atoms (fractional coordinates):
Ag: 0.0000 0.0000 0.0000
Ag: 0.3333 0.6667 0.6667
Ag: 0.6667 0.3333 0.3333
Mo: 0.0000 0.0000 0.7449
Mo: 0.3333 0.6667 0.4116
Mo: 0.6667 0.3333 0.0783
Br: 0.0000 0.0000 0.2598
Br: 0.0000 0.0000 0.4722
Br: 0.3333 0.6667 0.1389
Br: 0.3333 0.6667 0.9265
Br: 0.6667 0.3333 0.5932
Br: 0.6667 0.3333 0.8055